{
  "formula": "LaTaNbCr2",
  "functional": "PBE",
  "state": "optimized geometry",
  "lattice": [[4.440, 0.000, 0.000], [0.000, 4.440, 0.000], [0.000, 0.000, 5.005]],
  "species": ["La", "Ta", "Nb", "Cr", "Cr"],
  "fractional_positions": [[0.000, 0.000, 0.000], [0.000, 0.000, 0.500], [0.500, 0.500, 0.500], [0.000, 0.500, 0.000], [0.500, 0.000, 0.000]],
  "space_group": "No. 123",
  "formation_enthalpy_0k_ev_per_fu": 9.89
}